Entry from Alexandria: TeRh5Se8 after structural relaxation (GGA-PBE).

Computed properties:
- size of the total moment (μB/cell) = 0.00
- uncorrected formation energy (eV/atom) = -0.302

abc: 3.6901 8.5507 9.6681
angles: 102.51 101.04 89.97
Fractional positions:
Te  0.5092  0.5296  0.0081
Rh  0.2979  0.6790  0.5962
Rh  0.7002  0.3235  0.4023
Rh  0.3442  0.0237  0.6890
Rh  0.6588  0.9784  0.3173
Rh  0.9961  0.9929  0.9928
Se  0.2369  0.1515  0.4748
Se  0.7628  0.8467  0.5265
Se  0.1735  0.4965  0.3496
Se  0.8226  0.5022  0.6454
Se  0.0882  0.8222  0.1771
Se  0.9108  0.1778  0.8223
Se  0.4316  0.8210  0.8635
Se  0.5671  0.1549  0.1350

Entry from Alexandria: LiMoCl after structural relaxation (GGA-PBE).

Computed properties:
- relative energy among the computed polymorphs (eV/atom) = 0.095
- size of the total moment (μB/cell) = 0.00
- uncorrected formation energy (eV/atom) = 0.125

abc: 6.7992 6.5101 2.9296
angles: 82.87 71.82 25.31
Fractional positions:
Cl  0.0033  0.0033  0.9967
Li  0.6547  0.6547  0.3453
Mo  0.3420  0.3420  0.6580

Entry from Alexandria: Zn2CdOsC after structural relaxation (GGA-PBE).

Computed properties:
- formation enthalpy at 0 K (meV/atom) = 584.3
- size of the total moment (μB/cell) = 0.00

abc: 4.3133 3.9729 4.3133
angles: 90.00 90.00 90.00
Fractional positions:
Zn  0.0000  0.0000  0.5000
Zn  0.5000  0.0000  0.0000
Os  0.0000  0.5000  0.0000
C  0.0000  0.0000  0.0000
Cd  0.5000  0.5000  0.5000

Entry from Alexandria: AgBiAu after structural relaxation (GGA-PBE).

Computed properties:
- formation enthalpy at 0 K (meV/atom) = 29.1
- relative energy among the computed polymorphs (eV/atom) = 0.043
- size of the total moment (μB/cell) = 0.00

abc: 4.6705 4.6768 7.6676
angles: 91.05 90.63 60.14
Fractional positions:
Ag  0.6665  0.1662  0.9275
Ag  0.3335  0.8338  0.0725
Bi  0.6677  0.1726  0.3312
Bi  0.3323  0.8274  0.6688
Au  0.9995  0.4977  0.8041
Au  0.0005  0.5023  0.1959

Entry from Alexandria: Ce2GeRu after structural relaxation (GGA-PBE).

Computed properties:
- formation enthalpy at 0 K (meV/atom) = -459.6
- size of the total moment (μB/cell) = 0.00

abc: 3.2621 3.2621 8.0955
angles: 90.00 90.00 90.00
Fractional positions:
Ru  0.5000  0.5000  0.0000
Ge  0.5000  0.5000  0.5000
Ce  0.0000  0.0000  0.7717
Ce  0.0000  0.0000  0.2283

Entry from Alexandria: CaMgPb after structural relaxation (GGA-PBE).

Computed properties:
- formation enthalpy at 0 K (meV/atom) = 95.9
- size of the total moment (μB/cell) = 0.00

abc: 5.2165 5.2165 5.2165
angles: 60.00 60.00 60.00
Fractional positions:
Ca  0.2500  0.2500  0.2500
Mg  0.0000  0.0000  0.0000
Pb  0.5000  0.5000  0.5000

| no. | E_tot (eV for the cell shown) |
| --- | --- |
| 1 | -72.00 |
| 2 | -14.22 |
| 3 | -21.00 |
| 4 | -19.84 |
| 5 | -27.60 |
| 6 | -7.02 |